# 1
## NaCuAuS2 (GGA-PBE)

Data for a relaxed NaCuAuS2 crystal.

Unit cell a=5.142 b=6.154 c=6.711 alpha=101.88 beta=90.00 gamma=90.00
Element x y z (fractional)
Na  0.192  0.500  0.750
Na  0.808  0.500  0.250
Cu  0.518  0.000  0.250
Cu  0.482  0.000  0.750
Au  0.000  0.000  0.000
Au  0.000  0.000  0.500
S  0.651  0.755  0.952
S  0.651  0.245  0.548
S  0.349  0.755  0.452
S  0.349  0.245  0.048

Properties
Formation energy (no corrections) (eV/atom): -0.38
Space group: P2/c (13)



# 2
## NaCuSbAu (GGA-PBE)

Data for a relaxed NaCuSbAu crystal.

Unit cell a=3.798 b=3.798 c=12.738 alpha=90.00 beta=90.00 gamma=90.00
Element x y z (fractional)
Na  0.750  0.750  0.305
Na  0.250  0.250  0.695
Cu  0.750  0.250  0.000
Cu  0.250  0.750  0.000
Sb  0.750  0.750  0.851
Sb  0.250  0.250  0.149
Au  0.250  0.750  0.500
Au  0.750  0.250  0.500

Properties
Formation energy (no corrections) (eV/atom): -0.14
Space group: P4/nmm (129)



# 3
## NaCuSbAu (GGA-PBE)

Data for a relaxed NaCuSbAu crystal.

Unit cell a=4.796 b=4.796 c=4.796 alpha=60.00 beta=60.00 gamma=60.00
Element x y z (fractional)
Sb  0.250  0.250  0.250
Au  0.000  0.000  0.000
Cu  0.500  0.500  0.500
Na  0.750  0.750  0.750

Properties
Formation energy (no corrections) (eV/atom): -0.05
Space group: F-43m (216)



# 4
## NaCuAuSe (GGA-PBE)

Data for a relaxed NaCuAuSe crystal.

Unit cell a=3.880 b=3.880 c=10.884 alpha=90.00 beta=90.00 gamma=90.00
Element x y z (fractional)
Na  0.750  0.750  0.263
Na  0.250  0.250  0.737
Cu  0.750  0.250  0.000
Cu  0.250  0.750  0.000
Au  0.250  0.750  0.500
Au  0.750  0.250  0.500
Se  0.750  0.750  0.856
Se  0.250  0.250  0.144

Properties
Formation energy (no corrections) (eV/atom): -0.41
Space group: P4/nmm (129)



# 5
## NaSmCuAu (GGA-PBE)

Data for a relaxed NaSmCuAu crystal.

Unit cell a=4.992 b=4.992 c=4.992 alpha=60.00 beta=60.00 gamma=60.00
Element x y z (fractional)
Na  0.000  0.000  0.000
Au  0.750  0.750  0.750
Cu  0.250  0.250  0.250
Sm  0.500  0.500  0.500

Properties
Space group: F-43m (216)
Formation enthalpy at 0 K (meV per atom): -255



# 6
## Na2CuSn4Au3 (GGA-PBE)

Data for a relaxed Na2CuSn4Au3 crystal.

Unit cell a=4.560 b=4.560 c=11.833 alpha=90.00 beta=90.00 gamma=90.00
Element x y z (fractional)
Na  0.500  0.000  0.264
Na  0.000  0.500  0.736
Cu  0.500  0.500  0.500
Sn  0.500  0.500  0.000
Sn  0.000  0.000  0.000
Sn  0.500  0.000  0.626
Sn  0.000  0.500  0.374
Au  0.000  0.000  0.500
Au  0.500  0.000  0.854
Au  0.000  0.500  0.146

Properties
Space group: P-4m2 (115)
Formation enthalpy at 0 K (meV per atom): -182



# 7
## NaTbCuAu (GGA-PBE)

Data for a relaxed NaTbCuAu crystal.

Unit cell a=4.931 b=4.931 c=4.931 alpha=60.00 beta=60.00 gamma=60.00
Element x y z (fractional)
Tb  0.000  0.000  0.000
Au  0.750  0.750  0.750
Cu  0.250  0.250  0.250
Na  0.500  0.500  0.500

Properties
Space group: F-43m (216)
Formation enthalpy at 0 K (meV per atom): -260



# 8
## NaCuTeAu (GGA-PBE)

Data for a relaxed NaCuTeAu crystal.

Unit cell a=3.961 b=3.961 c=11.668 alpha=90.00 beta=90.00 gamma=90.00
Element x y z (fractional)
Na  0.750  0.750  0.290
Na  0.250  0.250  0.710
Cu  0.750  0.250  0.000
Cu  0.250  0.750  0.000
Te  0.750  0.750  0.851
Te  0.250  0.250  0.149
Au  0.250  0.750  0.500
Au  0.750  0.250  0.500

Properties
Formation energy (no corrections) (eV/atom): -0.30
Space group: P4/nmm (129)



# 9
## NaTmCuAu (GGA-PBE)

Data for a relaxed NaTmCuAu crystal.

Unit cell a=4.873 b=4.873 c=4.873 alpha=60.00 beta=60.00 gamma=60.00
Element x y z (fractional)
Na  0.250  0.250  0.250
Tm  0.750  0.750  0.750
Au  0.000  0.000  0.000
Cu  0.500  0.500  0.500

Properties
Space group: F-43m (216)
Formation enthalpy at 0 K (meV per atom): -252



# 10
## NaVCuAu2 (GGA-PBE)

Data for a relaxed NaVCuAu2 crystal.

Unit cell a=4.911 b=4.586 c=4.911 alpha=90.00 beta=90.00 gamma=90.00
Element x y z (fractional)
Na  0.500  0.500  0.500
Au  0.000  0.000  0.500
Au  0.500  0.000  0.000
Cu  0.000  0.000  0.000
V  0.000  0.500  0.000

Properties
Space group: P4/mmm (123)
Formation enthalpy at 0 K (meV per atom): 476



# 11
## NaYCuAu (GGA-PBE)

Data for a relaxed NaYCuAu crystal.

Unit cell a=4.928 b=4.928 c=4.928 alpha=60.00 beta=60.00 gamma=60.00
Element x y z (fractional)
Y  0.750  0.750  0.750
Na  0.250  0.250  0.250
Au  0.000  0.000  0.000
Cu  0.500  0.500  0.500

Properties
Space group: F-43m (216)
Formation enthalpy at 0 K (meV per atom): -259



# 12
## Na2ZnCuAu6 (GGA-PBE)

Data for a relaxed Na2ZnCuAu6 crystal.

Unit cell a=6.955 b=6.955 c=6.955 alpha=60.00 beta=60.00 gamma=90.00
Element x y z (fractional)
Na  0.250  0.750  0.500
Na  0.750  0.250  0.500
Zn  0.500  0.500  0.000
Cu  0.000  0.000  0.000
Au  0.249  0.751  0.000
Au  0.751  0.751  0.000
Au  0.249  0.249  0.502
Au  0.751  0.249  0.000
Au  0.249  0.249  0.000
Au  0.751  0.751  0.498

Properties
Space group: Fm-3m (225)
Formation enthalpy at 0 K (meV per atom): 75



M_tot per entry: 0.00; 0.00; 0.00; 0.00; 0.00; 0.00; 0.00; 0.00; 0.00; 3.42; 0.00; 0.00 μB/f.u.